# 1
Density functional theory data (PBE) for crystalline GaPtF2 at its relaxed geometry.

Summary:
* E_form (uncorrected): -0.817 eV/atom

Cell lengths 5.460, 5.460, 5.460 Å; angles 102.69, 102.69, 124.10 degrees
Positions (direct):
Ga  0.000  0.000  0.000
Ga  0.750  0.250  0.500
Pt  0.250  0.750  0.500
Pt  0.500  0.500  0.000
F  0.002  0.625  0.877
F  0.375  0.252  0.377
F  0.748  0.125  0.123
F  0.875  0.998  0.623


# 2
Density functional theory data (PBE) for crystalline Mn3Sn at its relaxed geometry.

Summary:
* ΔE_f: 0.6 eV per formula unit

Cell lengths 4.269, 4.269, 4.269 Å; angles 60.00, 60.00, 60.00 degrees
Positions (direct):
Mn  0.000  0.000  0.000
Mn  0.250  0.250  0.250
Mn  0.750  0.750  0.750
Sn  0.500  0.500  0.500